# 1
The following is a DFT calculation (PBE-GGA) of crystalline LiZrAg2 at its relaxed geometry.

abc: 3.314 2.978 7.853
angles: 67.77 90.00 90.00
Fractional coordinates of all 4 atoms:
Zr  0.500  0.750  0.750
Ag  0.000  0.966  0.034
Ag  0.000  0.534  0.466
Li  0.500  0.250  0.250

Calculated values
The calculation puts the total energy at -4.14 eV per atom. For the formation energy, the calculation gives -0.095 eV per atom. For the density of states at the Fermi level, the calculation gives 2.418 states/eV per cell.


# 2
The following is a DFT calculation (PBE-GGA) of crystalline CdC2I2 at its relaxed geometry.

abc: 7.808 7.808 3.606
angles: 90.00 90.00 90.00
Fractional coordinates of all 10 atoms:
I  0.158  0.658  0.500
I  0.658  0.842  0.500
I  0.842  0.342  0.500
I  0.342  0.158  0.500
C  0.283  0.783  0.000
C  0.783  0.717  0.000
C  0.717  0.217  0.000
C  0.217  0.283  0.000
Cd  0.000  0.000  0.000
Cd  0.500  0.500  0.000

Calculated values
As for the offset from the most stable computed form: 0.541 eV/atom. For the formation energy from raw total energies, the calculation gives 9.8 eV per formula unit. The calculation puts the total energy at -2.53 eV per atom. For the density of states at the Fermi level, the calculation gives 4.919 states/eV per cell.